Record 1
First-principles (PBE) data for K2CrNiSe4 after structural relaxation, as listed in the Alexandria database.

Summary:
For the uncorrected formation energy, the calculation gives -0.7548 eV/atom. The calculation puts the total DFT energy (no corrections) at -4.70 eV per atom.

The structure in POSCAR format:
```
K2CrNiSe4
1.0
0.000 6.700 11.856
2.729 0.000 11.856
2.729 6.700 0.000
K Cr Ni Se
4 2 2 8
Direct
0.055 0.055 0.695
0.305 0.305 0.945
0.695 0.695 0.055
0.945 0.945 0.305
0.125 0.125 0.125
0.875 0.875 0.875
0.375 0.375 0.375
0.625 0.625 0.625
0.039 0.323 0.408
0.270 0.592 0.677
0.323 0.039 0.730
0.408 0.730 0.039
0.592 0.270 0.961
0.677 0.961 0.270
0.730 0.408 0.323
0.961 0.677 0.592
```


Record 2
First-principles (PBE) data for K2CrTcNi after structural relaxation, as listed in the Alexandria database.

Summary:
The calculation puts the total DFT energy (no corrections) at -3.93 eV per atom.

The structure in POSCAR format:
```
K2CrTcNi
1.0
5.898 0.000 0.000
0.000 5.898 0.000
0.000 0.000 4.677
K Cr Tc Ni
2 1 1 1
Direct
0.000 0.500 0.000
0.500 0.000 0.000
0.000 0.000 0.500
0.500 0.500 0.500
0.000 0.000 0.000
```


Record 3
First-principles (PBE) data for KCr2NiTe after structural relaxation, as listed in the Alexandria database.

Summary:
For the uncorrected formation energy, the calculation gives 0.7999 eV/atom. The calculation puts the total DFT energy (no corrections) at -5.05 eV per atom.

The structure in POSCAR format:
```
KCr2NiTe
1.0
4.776 0.000 0.000
0.000 4.776 0.000
0.000 0.000 5.423
K Cr Ni Te
1 2 1 1
Direct
0.000 0.000 0.000
0.000 0.500 0.500
0.500 0.000 0.500
0.000 0.000 0.500
0.500 0.500 0.000
```


Record 4
First-principles (PBE) data for KZr2CrNi after structural relaxation, as listed in the Alexandria database.

Summary:
The calculation puts the total DFT energy (no corrections) at -5.29 eV per atom.

The structure in POSCAR format:
```
KZr2CrNi
1.0
4.867 0.000 0.000
0.000 4.867 0.000
0.000 0.000 5.378
K Zr Cr Ni
1 2 1 1
Direct
0.000 0.000 0.000
0.000 0.500 0.500
0.500 0.000 0.500
0.500 0.500 0.000
0.000 0.000 0.500
```